# 1
Below is a relaxed structure of MnSb2W, with properties calculated at the PBE level.

Summary:
* offset from the most stable computed form: 0.048 eV/atom
* energy relative to the elements, uncorrected: 0.27 eV per atom
* space group: No. 38

abc: 5.308 5.308 4.310
angles: 90.00 90.00 39.77
Last column: magnetic moment on the atom in μB.
Atoms (fractional coordinates):
1 Mn 0.303 0.303 0.125  2.69
2 Sb 0.023 0.023 0.125  -0.05
3 Sb 0.731 0.731 0.625  -0.04
4 W 0.444 0.444 0.625  -0.18

***

# 2
Below is a relaxed structure of MnSb2W, with properties calculated at the PBE level.

Summary:
* offset from the most stable computed form: 0.154 eV/atom
* energy relative to the elements, uncorrected: 0.38 eV per atom
* space group: No. 160

abc: 10.632 10.632 10.632
angles: 16.95 16.95 16.95
Last column: magnetic moment on the atom in μB.
Atoms (fractional coordinates):
1 Mn 0.762 0.762 0.762  2.26
2 Sb 0.028 0.028 0.028  -0.10
3 Sb 0.225 0.225 0.225  0.01
4 W 0.485 0.485 0.485  -0.37

***

# 3
Below is a relaxed structure of MnSbW, with properties calculated at the PBE level.

Summary:
* offset from the most stable computed form: 0.380 eV/atom
* energy relative to the elements, uncorrected: 0.51 eV per atom
* space group: No. 107

abc: 5.563 5.562 3.030
angles: 74.20 74.18 31.61
Atoms (fractional coordinates):
1 Mn 0.999 0.999 0.001
2 Sb 0.347 0.347 0.653
3 W 0.654 0.654 0.346

***

# 4
Below is a relaxed structure of MnSb2W, with properties calculated at the PBE level.

Summary:
* offset from the most stable computed form: 0.224 eV/atom
* energy relative to the elements, uncorrected: 0.45 eV per atom
* space group: No. 44

abc: 6.437 6.437 6.437
angles: 150.19 143.52 47.80
Last column: magnetic moment on the atom in μB.
Atoms (fractional coordinates):
1 Mn 0.234 0.734 0.500  2.81
2 Sb 0.042 0.042 0.000  -0.01
3 Sb 0.783 0.283 0.500  -0.06
4 W 0.441 0.441 0.000  -0.36

***

# 5
Below is a relaxed structure of MnSbW2, with properties calculated at the PBE level.

Summary:
* energy relative to the elements, uncorrected: 0.55 eV per atom
* space group: No. 65

abc: 4.364 4.364 3.486
angles: 90.00 90.00 97.50
Last column: magnetic moment on the atom in μB.
Atoms (fractional coordinates):
1 Mn 0.500 0.000 0.500  2.71
2 Sb 0.000 0.500 0.500  0.00
3 W 0.000 0.000 0.000  -0.18
4 W 0.500 0.500 0.000  -0.18

***

# 6
Below is a relaxed structure of MnZn2SbW, with properties calculated at the PBE level.

Summary:
* energy relative to the elements, uncorrected: 0.95 eV per atom
* space group: No. 123

abc: 4.692 4.504 4.692
angles: 90.00 90.00 90.00
Last column: magnetic moment on the atom in μB.
Atoms (fractional coordinates):
1 Sb 0.500 0.500 0.500  0.08
2 Zn 0.000 0.000 0.500  0.00
3 Zn 0.500 0.000 0.000  0.00
4 Mn 0.000 0.000 0.000  1.75
5 W 0.000 0.500 0.000  -1.10

***

# 7
Below is a relaxed structure of YMn2Sb, with properties calculated at the PBE level.

Summary:
* energy relative to the elements, uncorrected: 0.22 eV per atom
* space group: No. 12

abc: 5.301 5.728 3.217
angles: 75.26 86.73 116.53
Last column: magnetic moment on the atom in μB.
Atoms (fractional coordinates):
1 Mn 0.000 0.000 0.000  3.41
2 Mn 0.500 0.000 0.500  3.41
3 Sb 0.000 0.500 0.500  -0.02
4 Y 0.500 0.500 0.000  -0.34

***

# 8
Below is a relaxed structure of Y3MnSb, with properties calculated at the PBE level.

Summary:
* offset from the most stable computed form: 0.000 eV/atom
* energy relative to the elements, uncorrected: -0.06 eV per atom
* space group: No. 221

abc: 5.140 5.140 5.140
angles: 90.00 90.00 90.00
Last column: magnetic moment on the atom in μB.
Atoms (fractional coordinates):
1 Y 0.000 0.500 0.000  -0.09
2 Y 0.000 0.000 0.500  -0.09
3 Y 0.500 0.000 0.000  -0.05
4 Sb 0.500 0.500 0.500  0.00
5 Mn 0.000 0.000 0.000  1.10

***

# 9
Below is a relaxed structure of YMn2Sb, with properties calculated at the PBE level.

Summary:
* energy relative to the elements, uncorrected: -0.02 eV per atom
* space group: No. 123

abc: 4.368 4.368 4.182
angles: 90.00 90.00 90.00
Last column: magnetic moment on the atom in μB.
Atoms (fractional coordinates):
1 Mn 0.000 0.000 0.000  3.40
2 Mn 0.500 0.500 0.000  3.40
3 Sb 0.500 0.000 0.500  -0.03
4 Y 0.000 0.500 0.500  -0.24

***

# 10
Below is a relaxed structure of YMn2Sb, with properties calculated at the PBE level.

Summary:
* energy relative to the elements, uncorrected: -0.22 eV per atom
* space group: No. 160

abc: 4.122 4.122 5.932
angles: 69.68 69.68 60.01
Last column: magnetic moment on the atom in μB.
Atoms (fractional coordinates):
1 Mn 0.953 0.953 0.141  -2.19
2 Mn 0.274 0.274 0.178  2.19
3 Sb 0.533 0.533 0.401  0.00
4 Y 0.740 0.740 0.779  0.01

***

# 11
Below is a relaxed structure of YMnSb, with properties calculated at the PBE level.

Summary:
* energy relative to the elements, uncorrected: -0.37 eV per atom
* space group: No. 156

abc: 4.502 4.502 3.968
angles: 90.00 90.00 120.00
Last column: magnetic moment on the atom in μB.
Atoms (fractional coordinates):
1 Mn 0.000 0.000 0.166  3.22
2 Sb 0.333 0.667 0.167  -0.01
3 Y 0.667 0.333 0.667  -0.07

***

# 12
Below is a relaxed structure of YMn3Sb, with properties calculated at the PBE level.

Summary:
* offset from the most stable computed form: 0.803 eV/atom
* energy relative to the elements, uncorrected: 1.46 eV per atom
* space group: No. 221

abc: 4.966 4.966 4.966
angles: 90.00 90.00 90.00
Last column: magnetic moment on the atom in μB.
Atoms (fractional coordinates):
1 Y 0.000 0.000 0.000  -0.50
2 Sb 0.500 0.500 0.500  -0.05
3 Mn 0.000 0.500 0.000  3.42
4 Mn 0.000 0.000 0.500  3.15
5 Mn 0.500 0.000 0.000  3.85

***

# 13
Below is a relaxed structure of YMn2Sb, with properties calculated at the PBE level.

Summary:
* energy relative to the elements, uncorrected: 0.04 eV per atom
* space group: No. 99

abc: 3.494 3.494 6.712
angles: 90.00 90.00 90.00
Last column: magnetic moment on the atom in μB.
Atoms (fractional coordinates):
1 Mn 0.000 0.000 0.046  3.30
2 Mn 0.500 0.500 0.235  3.37
3 Sb 0.000 0.000 0.446  -0.06
4 Y 0.500 0.500 0.773  -0.10

***

# 14
Below is a relaxed structure of YMn3Sb, with properties calculated at the PBE level.

Summary:
* offset from the most stable computed form: 0.000 eV/atom
* energy relative to the elements, uncorrected: 0.66 eV per atom
* space group: No. 221

abc: 4.907 4.907 4.907
angles: 90.00 90.00 90.00
Last column: magnetic moment on the atom in μB.
Atoms (fractional coordinates):
1 Y 0.500 0.500 0.500  -0.43
2 Sb 0.000 0.000 0.000  -0.12
3 Mn 0.000 0.500 0.000  3.44
4 Mn 0.000 0.000 0.500  3.31
5 Mn 0.500 0.000 0.000  3.37

***

# 15
Below is a relaxed structure of YMnSb, with properties calculated at the PBE level.

Summary:
* energy relative to the elements, uncorrected: -0.22 eV per atom
* space group: No. 107

abc: 5.850 5.850 3.591
angles: 72.13 72.13 35.74
Last column: magnetic moment on the atom in μB.
Atoms (fractional coordinates):
1 Mn 0.980 0.980 0.020  3.37
2 Sb 0.360 0.360 0.640  -0.08
3 Y 0.660 0.660 0.340  -0.23

***

# 16
Below is a relaxed structure of YMn2Sb2, with properties calculated at the PBE level.

Summary:
* energy relative to the elements, uncorrected: -0.25 eV per atom
* space group: No. 139

abc: 4.108 4.108 6.997
angles: 72.93 72.93 90.00
Last column: magnetic moment on the atom in μB.
Atoms (fractional coordinates):
1 Y 0.000 0.000 0.000  -0.04
2 Sb 0.381 0.381 0.238  -0.06
3 Sb 0.619 0.619 0.762  -0.06
4 Mn 0.750 0.250 0.500  3.06
5 Mn 0.250 0.750 0.500  3.06

***

# 17
Below is a relaxed structure of YMn2Sb, with properties calculated at the PBE level.

Summary:
* energy relative to the elements, uncorrected: 0.08 eV per atom
* space group: No. 123

abc: 3.602 3.601 6.316
angles: 90.00 90.00 90.00
Last column: magnetic moment on the atom in μB.
Atoms (fractional coordinates):
1 Mn 0.000 0.000 0.029  3.38
2 Mn 0.000 0.000 0.471  3.38
3 Sb 0.500 0.500 0.250  -0.09
4 Y 0.500 0.500 0.750  -0.28

***

# 18
Below is a relaxed structure of YMn2Sb, with properties calculated at the PBE level.

Summary:
* energy relative to the elements, uncorrected: 0.14 eV per atom
* space group: No. 216

abc: 4.866 4.866 4.866
angles: 60.00 60.00 60.00
Last column: magnetic moment on the atom in μB.
Atoms (fractional coordinates):
1 Mn 0.000 0.000 0.000  3.53
2 Mn 0.250 0.250 0.250  3.48
3 Sb 0.500 0.500 0.500  0.00
4 Y 0.750 0.750 0.750  -0.12

***

# 19
Below is a relaxed structure of YMn2Sb, with properties calculated at the PBE level.

Summary:
* energy relative to the elements, uncorrected: 0.29 eV per atom
* space group: No. 122

abc: 7.875 7.875 6.312
angles: 51.41 51.41 90.00
Last column: magnetic moment on the atom in μB.
Atoms (fractional coordinates):
1 Y 0.500 0.500 0.000  -0.19
2 Y 0.250 0.750 0.500  -0.18
3 Sb 0.000 0.000 0.000  -0.06
4 Sb 0.750 0.250 0.500  -0.06
5 Mn 0.663 0.125 0.250  3.58
6 Mn 0.087 0.625 0.250  3.58
7 Mn 0.375 0.337 0.750  3.61
8 Mn 0.875 0.913 0.750  3.61

***

# 20
Below is a relaxed structure of Y4MnSb, with properties calculated at the PBE level.

Summary:
* energy relative to the elements, uncorrected: 0.44 eV per atom
* space group: No. 216

abc: 6.287 6.287 6.287
angles: 60.00 60.00 60.00
Last column: magnetic moment on the atom in μB.
Atoms (fractional coordinates):
1 Y 0.873 0.376 0.376  -0.05
2 Y 0.376 0.376 0.873  -0.05
3 Y 0.376 0.873 0.376  -0.05
4 Y 0.376 0.376 0.376  -0.05
5 Mn 0.750 0.750 0.750  4.14
6 Sb 0.000 0.000 0.000  0.01

***

# 21
Below is a relaxed structure of YMn4Sb, with properties calculated at the PBE level.

Summary:
* energy relative to the elements, uncorrected: 0.14 eV per atom
* space group: No. 216

abc: 5.038 5.038 5.038
angles: 60.00 60.00 60.00
Last column: magnetic moment on the atom in μB.
Atoms (fractional coordinates):
1 Y 0.000 0.000 0.000  -0.17
2 Mn 0.869 0.377 0.377  1.17
3 Mn 0.377 0.377 0.869  1.17
4 Mn 0.377 0.869 0.377  1.17
5 Mn 0.377 0.377 0.377  1.17
6 Sb 0.750 0.750 0.750  -0.05

***

# 22
Below is a relaxed structure of YMnSb4, with properties calculated at the PBE level.

Summary:
* energy relative to the elements, uncorrected: 0.28 eV per atom
* space group: No. 216

abc: 6.189 6.189 6.189
angles: 60.00 60.00 60.00
Last column: magnetic moment on the atom in μB.
Atoms (fractional coordinates):
1 Y 0.750 0.750 0.750  -0.14
2 Mn 0.000 0.000 0.000  4.21
3 Sb 0.374 0.877 0.374  -0.02
4 Sb 0.877 0.374 0.374  -0.02
5 Sb 0.374 0.374 0.877  -0.02
6 Sb 0.374 0.374 0.374  -0.02

***

# 23
Below is a relaxed structure of YMn2Sb, with properties calculated at the PBE level.

Summary:
* energy relative to the elements, uncorrected: 0.04 eV per atom
* space group: No. 6

abc: 4.373 3.662 5.711
angles: 71.45 90.00 90.00
Last column: magnetic moment on the atom in μB.
Atoms (fractional coordinates):
1 Mn 0.000 0.022 0.080  3.75
2 Mn 0.500 0.451 0.220  3.44
3 Sb 0.000 0.313 0.499  -0.04
4 Y 0.500 0.713 0.701  -0.14

***

# 24
Below is a relaxed structure of YMn2Sb2, with properties calculated at the PBE level.

Summary:
* energy relative to the elements, uncorrected: -0.12 eV per atom
* space group: No. 139

abc: 4.712 4.712 5.553
angles: 64.90 64.90 90.00
Last column: magnetic moment on the atom in μB.
Atoms (fractional coordinates):
1 Y 0.000 0.000 0.000  -0.05
2 Sb 0.750 0.250 0.500  -0.02
3 Sb 0.250 0.750 0.500  -0.02
4 Mn 0.386 0.386 0.227  0.53
5 Mn 0.614 0.614 0.773  0.53

***

# 25
Below is a relaxed structure of YMn2Sb, with properties calculated at the PBE level.

Summary:
* energy relative to the elements, uncorrected: 0.01 eV per atom
* space group: No. 119

abc: 5.377 5.377 5.377
angles: 133.73 133.73 67.51
Last column: magnetic moment on the atom in μB.
Atoms (fractional coordinates):
1 Mn 0.000 0.000 0.000  3.38
2 Mn 0.250 0.750 0.500  3.25
3 Sb 0.500 0.500 0.000  -0.04
4 Y 0.750 0.250 0.500  -0.31

***

# 26
Below is a relaxed structure of YMn2Sb, with properties calculated at the PBE level.

Summary:
* energy relative to the elements, uncorrected: 0.10 eV per atom
* space group: No. 10

abc: 4.561 3.396 5.675
angles: 81.82 90.00 90.00
Last column: magnetic moment on the atom in μB.
Atoms (fractional coordinates):
1 Mn 0.000 0.176 0.993  3.56
2 Mn 0.000 0.324 0.507  3.56
3 Sb 0.500 0.250 0.250  -0.02
4 Y 0.500 0.750 0.750  -0.23

***

# 27
Below is a relaxed structure of MnZn3Sb, with properties calculated at the PBE level.

Summary:
* offset from the most stable computed form: 0.000 eV/atom
* energy relative to the elements, uncorrected: 0.59 eV per atom
* space group: No. 221

abc: 4.759 4.759 4.759
angles: 90.00 90.00 90.00
Last column: magnetic moment on the atom in μB.
Atoms (fractional coordinates):
1 Sb 0.500 0.500 0.500  -0.01
2 Zn 0.000 0.500 0.000  -0.01
3 Zn 0.000 0.000 0.500  0.01
4 Zn 0.500 0.000 0.000  -0.05
5 Mn 0.000 0.000 0.000  2.93

***

# 28
Below is a relaxed structure of MnZnSb3, with properties calculated at the PBE level.

Summary:
* energy relative to the elements, uncorrected: 0.44 eV per atom
* space group: No. 221

abc: 5.055 5.055 5.055
angles: 90.00 90.00 90.00
Last column: magnetic moment on the atom in μB.
Atoms (fractional coordinates):
1 Sb 0.000 0.500 0.000  -0.03
2 Sb 0.000 0.000 0.500  0.00
3 Sb 0.500 0.000 0.000  -0.08
4 Zn 0.500 0.500 0.500  -0.02
5 Mn 0.000 0.000 0.000  2.32

***

# 29
Below is a relaxed structure of Mn2Zn2Sb, with properties calculated at the PBE level.

Summary:
* offset from the most stable computed form: 0.000 eV/atom
* energy relative to the elements, uncorrected: 0.22 eV per atom
* space group: No. 127

abc: 6.710 6.710 3.686
angles: 90.00 90.00 90.00
Last column: magnetic moment on the atom in μB.
Atoms (fractional coordinates):
1 Sb 0.000 0.000 0.000  -0.13
2 Sb 0.500 0.500 0.000  -0.13
3 Zn 0.145 0.645 0.500  -0.07
4 Zn 0.645 0.855 0.500  -0.07
5 Zn 0.855 0.355 0.500  -0.07
6 Zn 0.355 0.145 0.500  -0.07
7 Mn 0.355 0.855 0.000  2.93
8 Mn 0.855 0.645 0.000  2.90
9 Mn 0.645 0.145 0.000  2.94
10 Mn 0.145 0.355 0.000  2.90